Entry from Alexandria: crystalline Sc2CoTe at its relaxed geometry (GGA-PBE).

Geometry as POSCAR:
```
Sc2CoTe
1.0
1.795 1.037 8.530
-1.795 1.037 8.530
0.000 -2.073 8.530
Sc Co Te
2 1 1
Direct
0.088 0.088 0.088
0.912 0.912 0.912
0.000 0.000 0.000
0.500 0.500 0.500
```

For the total energy, the calculation gives -5.525 eV per atom. Its density of states at the Fermi level is 3.533 states/eV per cell. As for the spin magnetization: 0.72 μB/f.u. For the uncorrected formation energy, the calculation gives 0.20 eV per atom.

Entry from Alexandria: crystalline Sc2CoTe at its relaxed geometry (GGA-PBE).

Geometry as POSCAR:
```
Sc2CoTe
1.0
4.615 0.000 0.000
0.000 4.615 0.000
0.000 0.000 3.653
Sc Co Te
2 1 1
Direct
0.000 0.500 0.000
0.500 0.000 0.000
0.000 0.000 0.500
0.500 0.500 0.500
```

For the total energy, the calculation gives -6.119 eV per atom. Its density of states at the Fermi level is 4.170 states/eV per cell. As for the spin magnetization: 1.27 μB/f.u. For the uncorrected formation energy, the calculation gives -0.39 eV per atom.

Entry from Alexandria: crystalline Sc8Co2Te at its relaxed geometry (GGA-PBE).

Geometry as POSCAR:
```
Sc8Co2Te
1.0
3.989 -6.118 0.000
3.989 6.118 0.000
-1.203 0.000 4.873
Sc Co Te
8 2 1
Direct
0.000 0.000 0.000
0.201 0.201 0.588
0.262 0.525 0.213
0.349 0.851 0.794
0.525 0.262 0.213
0.675 0.938 0.375
0.851 0.349 0.794
0.938 0.675 0.375
0.294 0.906 0.294
0.906 0.294 0.294
0.600 0.600 0.796
```

For the total energy, the calculation gives -6.456 eV per atom. Its density of states at the Fermi level is 16.416 states/eV per cell. As for the spin magnetization: 0.71 μB/f.u. For the uncorrected formation energy, the calculation gives -0.27 eV per atom.

- What is the spin magnetization in the second record?
  1.27 μB/f.u.

- Look up the spin magnetization of the second one.
  1.27 μB/f.u.

- spin magnetization of number 2 (Sc2CoTe)?
  1.27 μB/f.u.

- The highest spin magnetization belongs to which entry?
  number 2